## Cu2PbSeO2 (PBE)

Data for an optimized crystal structure of Cu2PbSeO2.

## Properties
DOS(E_F) in states/eV/atom: 0.763
Uncorrected energy in eV/atom: -4.589
Mass density in g cm⁻³: 7.5

a = 5.0840 Å, b = 5.3310 Å, c = 7.3916 Å
α = 90.00°, β = 100.73°, γ = 90.00°
Space group P2_1/m (No. 11)
One atom of each set of equivalent atoms:
Cu 0.0602 0.2500 0.2024 (multiplicity 2)
Cu 0.3180 0.7500 0.1233 (multiplicity 2)
Pb 0.3083 0.7500 0.5789 (multiplicity 2)
Se 0.2078 0.2500 0.9088 (multiplicity 2)
O 0.3260 0.9998 0.3275 (multiplicity 4)


## DyLu2Pt (PBE)

Data for an optimized crystal structure of DyLu2Pt.

## Properties
DOS(E_F) in states/eV/atom: 1.300
Uncorrected energy in eV/atom: -5.561
Mass density in g cm⁻³: 11.6
Offset from the most stable computed form in kJ/mol of formula units: 0
ΔE_f in meV per atom: -640

a = 3.4908 Å, b = 3.4908 Å, c = 8.3458 Å
α = 90.00°, β = 90.00°, γ = 90.00°
Space group P4/mmm (No. 123)
One atom of each set of equivalent atoms:
Dy 0.0000 0.0000 0.0000 (multiplicity 1)
Lu 0.5000 0.5000 0.3056 (multiplicity 2)
Pt 0.0000 0.0000 0.5000 (multiplicity 1)